Run w
Computed, not measured: a relaxed ZnSbPH crystal at the PBE level of DFT.

Geometry as extended XYZ:
```
4
Lattice="-1.008 -3.994 -0.639 2.043 -0.989 2.959 -3.579 2.534 3.319" Properties=species:S:1:pos:R:3 pbc="T T T"
Zn -1.605 1.318 3.899
Sb -1.865 -2.155 0.567
P -2.982 -0.551 4.225
H -1.341 -0.482 0.765
```

Run x
Computed, not measured: a relaxed ZnSbPH crystal at the PBE level of DFT.

Geometry as extended XYZ:
```
8
Lattice="6.092 0.000 -0.006 0.000 3.668 0.000 -2.509 0.000 7.122" Properties=species:S:1:pos:R:3 pbc="T T T"
Zn 4.149 0.000 2.238
Zn 2.895 1.834 5.800
Sb 1.664 0.000 0.639
Sb 0.410 1.834 4.200
P 5.274 0.000 0.144
P 4.020 1.834 3.705
H -0.411 0.000 6.064
H 0.843 1.834 2.503
```

Run y
Computed, not measured: a relaxed ZnSbPH crystal at the PBE level of DFT.

Geometry as extended XYZ:
```
4
Lattice="3.786 -0.006 0.012 0.029 4.667 0.006 1.887 2.153 5.063" Properties=species:S:1:pos:R:3 pbc="T T T"
Zn 4.800 3.792 4.694
Sb 2.914 3.927 0.924
P 2.910 3.329 3.353
H 2.910 1.912 3.181
```

Most stable = run y